Entry 1:
KSr5 | Alexandria via LeMat-Bulk | GGA-PBEsol | optimized geometry; E_form = 0.052 eV/atom; electronic total energy = -10.03 eV for the cell shown
1.0
7.873 -2.111 0.000
7.873 2.111 0.000
-2.635 0.000 9.814
K Sr
1 5
direct
0.000 0.000 0.000
0.057 0.057 0.610
0.330 0.330 0.660
0.389 0.389 0.285
0.669 0.669 0.337
0.725 0.725 0.945



Entry 2:
KSr5 | Alexandria via LeMat-Bulk | GGA-PBEsol | optimized geometry; E_form = 0.037 eV/atom; electronic total energy = -10.11 eV for the cell shown
1.0
4.184 0.000 0.000
0.000 4.184 0.000
0.000 0.000 18.579
K Sr
1 5
direct
0.000 0.000 0.000
0.000 0.000 0.341
0.000 0.000 0.659
0.500 0.500 0.181
0.500 0.500 0.500
0.500 0.500 0.819